# 1
DyAg3 | GGA-PBE | relaxed

Output
Energy: -3.361 eV/atom
Energy of formation from the pure elements: -0.072 eV/atom
Spin magnetization: 0.000 μB per formula unit

The structure in CIF format:
```
data_DyAg3
_chemical_formula_sum 'Dy1 Ag3'
_symmetry_space_group_name_H-M 'P m m 2'
_symmetry_Int_Tables_number 25
_symmetry_space_group_name_Hall 'P 2 -2'
_cell_length_a 3.197
_cell_length_b 4.979
_cell_length_c 5.230
_cell_angle_alpha 90.00
_cell_angle_beta 90.00
_cell_angle_gamma 90.00
loop_
_atom_site_label
_atom_site_fract_x
_atom_site_fract_y
_atom_site_fract_z
_atom_site_occupancy
Dy1 0.000 0.000 0.000 1
Ag1 0.000 0.500 0.654 1
Ag2 0.500 0.000 0.500 1
Ag3 0.500 0.500 0.183 1
```



# 2
Li5Cd6In | GGA-PBE | relaxed

Output
Energy: -1.705 eV/atom
Energy of formation from the pure elements: -0.222 eV/atom
Spin magnetization: 0.000 μB per formula unit

The structure in CIF format:
```
data_Li5Cd6In
_chemical_formula_sum 'Li10 Cd12 In2'
_symmetry_space_group_name_H-M 'C 1 2/m 1'
_symmetry_Int_Tables_number 12
_symmetry_space_group_name_Hall '-C 2y'
_cell_length_a 8.587
_cell_length_b 13.606
_cell_length_c 4.687
_cell_angle_alpha 90.00
_cell_angle_beta 122.77
_cell_angle_gamma 90.00
loop_
_atom_site_label
_atom_site_fract_x
_atom_site_fract_y
_atom_site_fract_z
_atom_site_occupancy
Li1 0.000 0.000 0.000 1
Li2 0.000 0.174 0.500 1
Li3 0.000 0.348 0.000 1
Cd1 0.216 0.000 0.715 1
Cd2 0.228 0.174 0.226 1
In1 0.000 0.500 0.500 1
```



# 3
Ba2BiN | GGA-PBE | relaxed

Output
Energy: -4.338 eV/atom
Spin magnetization: 0.000 μB per formula unit
Uncorrected formation energy: -0.325 eV per atom
Excess energy over the best structure of this formula in the dataset: 0.0 meV/atom

The structure in CIF format:
```
data_Ba2BiN
_chemical_formula_sum 'Ba6 Bi3 N3'
_symmetry_space_group_name_H-M 'R -3 m'
_symmetry_Int_Tables_number 166
_symmetry_space_group_name_Hall '-R 3 2"'
_cell_length_a 3.9527
_cell_length_b 3.9527
_cell_length_c 30.7316
_cell_angle_alpha 90.00
_cell_angle_beta 90.00
_cell_angle_gamma 120.00
loop_
_atom_site_label
_atom_site_fract_x
_atom_site_fract_y
_atom_site_fract_z
_atom_site_occupancy
Ba1 0.0000 0.0000 0.1172 1
Bi1 0.0000 0.0000 0.0000 1
N1 0.0000 0.0000 0.5000 1
```